[1]
A plane-wave DFT calculation with PBE was carried out for a geometry-optimized MnHgIr2 structure.

Formation energy = 1.205 eV/f.u.

a = 3.953 Å, b = 3.953 Å, c = 8.038 Å
α = 90.00°, β = 90.00°, γ = 90.00°
Element x y z (fractional)
1 Mn 0.000 0.000 0.000
2 Mn 0.500 0.500 0.500
3 Hg 0.000 0.500 0.750
4 Hg 0.500 0.000 0.250
5 Ir 0.000 0.000 0.500
6 Ir 0.000 0.500 0.250
7 Ir 0.500 0.000 0.750
8 Ir 0.500 0.500 0.000

---

[2]
A plane-wave DFT calculation with PBE was carried out for a geometry-optimized MnHgIr2 structure.

Formation energy = 1.159 eV/f.u.

a = 4.039 Å, b = 4.039 Å, c = 3.856 Å
α = 90.00°, β = 90.00°, γ = 90.00°
Element x y z (fractional)
1 Mn 0.000 0.000 0.000
2 Hg 0.500 0.500 0.000
3 Ir 0.000 0.500 0.500
4 Ir 0.500 0.000 0.500

---

[3]
A plane-wave DFT calculation with PBE was carried out for a geometry-optimized MnHg4Ir structure.

Formation energy = 4.555 eV/f.u.

a = 5.600 Å, b = 5.600 Å, c = 5.600 Å
α = 60.00°, β = 60.00°, γ = 60.00°
Element x y z (fractional)
1 Mn 0.000 0.000 0.000
2 Hg 0.125 0.625 0.625
3 Hg 0.625 0.125 0.625
4 Hg 0.625 0.625 0.125
5 Hg 0.625 0.625 0.625
6 Ir 0.250 0.250 0.250

---

[4]
A plane-wave DFT calculation with PBE was carried out for a geometry-optimized Mn2HgIr structure.

Formation energy = 0.987 eV/f.u.

a = 3.954 Å, b = 3.954 Å, c = 8.152 Å
α = 90.00°, β = 90.00°, γ = 90.00°
Element x y z (fractional)
1 Mn 0.000 0.000 0.000
2 Mn 0.000 0.500 0.250
3 Mn 0.500 0.000 0.750
4 Mn 0.500 0.500 0.500
5 Hg 0.000 0.500 0.750
6 Hg 0.500 0.000 0.250
7 Ir 0.000 0.000 0.500
8 Ir 0.500 0.500 0.000

---

[5]
A plane-wave DFT calculation with PBE was carried out for a geometry-optimized MnHgIr2 structure.

Formation energy = 1.714 eV/f.u.

a = 2.855 Å, b = 4.853 Å, c = 9.357 Å
α = 90.00°, β = 90.00°, γ = 90.00°
Element x y z (fractional)
1 Mn 0.000 0.000 0.000
2 Mn 0.500 0.500 0.000
3 Hg 0.000 0.500 0.737
4 Hg 0.500 0.000 0.737
5 Ir 0.000 0.000 0.468
6 Ir 0.000 0.500 0.223
7 Ir 0.500 0.000 0.223
8 Ir 0.500 0.500 0.468

---

[6]
A plane-wave DFT calculation with PBE was carried out for a geometry-optimized MnHgIr2 structure.

Formation energy = 1.539 eV/f.u.

a = 2.941 Å, b = 4.661 Å, c = 9.425 Å
α = 90.00°, β = 90.00°, γ = 90.00°
Element x y z (fractional)
1 Mn 0.000 0.000 0.000
2 Mn 0.500 0.500 0.500
3 Hg 0.000 0.500 0.764
4 Hg 0.500 0.000 0.264
5 Ir 0.000 0.000 0.531
6 Ir 0.000 0.500 0.270
7 Ir 0.500 0.000 0.770
8 Ir 0.500 0.500 0.031

---

[7]
A plane-wave DFT calculation with PBE was carried out for a geometry-optimized MnHgIr2 structure.

Formation energy = 0.842 eV/f.u.

a = 9.342 Å, b = 2.849 Å, c = 4.870 Å
α = 90.00°, β = 103.51°, γ = 90.00°
Element x y z (fractional)
1 Mn 0.000 0.000 0.000
2 Mn 0.500 0.500 0.000
3 Hg 0.000 0.500 0.500
4 Hg 0.500 0.000 0.500
5 Ir 0.234 0.500 0.228
6 Ir 0.266 0.000 0.772
7 Ir 0.734 0.000 0.228
8 Ir 0.766 0.500 0.772

---

[8]
A plane-wave DFT calculation with PBE was carried out for a geometry-optimized MnHgIr2 structure.

Formation energy = 2.415 eV/f.u.

a = 7.208 Å, b = 7.208 Å, c = 5.269 Å
α = 90.00°, β = 90.00°, γ = 90.00°
Element x y z (fractional)
1 Mn 0.000 0.000 0.000
2 Mn 0.000 0.500 0.250
3 Mn 0.500 0.000 0.750
4 Mn 0.500 0.500 0.500
5 Hg 0.000 0.000 0.500
6 Hg 0.000 0.500 0.750
7 Hg 0.500 0.000 0.250
8 Hg 0.500 0.500 0.000
9 Ir 0.204 0.250 0.125
10 Ir 0.250 0.704 0.375
11 Ir 0.250 0.796 0.875
12 Ir 0.296 0.250 0.625
13 Ir 0.704 0.750 0.625
14 Ir 0.750 0.204 0.875
15 Ir 0.750 0.296 0.375
16 Ir 0.796 0.750 0.125

---

[9]
A plane-wave DFT calculation with PBE was carried out for a geometry-optimized Mn2HgIr2 structure.

Formation energy = 0.578 eV/f.u.
Offset from the most stable computed form = 0 meV/atom

a = 7.430 Å, b = 7.430 Å, c = 2.857 Å
α = 90.00°, β = 90.00°, γ = 90.00°
Element x y z (fractional)
1 Mn 0.161 0.339 0.000
2 Mn 0.339 0.839 0.000
3 Mn 0.661 0.161 0.000
4 Mn 0.839 0.661 0.000
5 Hg 0.000 0.000 0.500
6 Hg 0.500 0.500 0.500
7 Ir 0.134 0.634 0.500
8 Ir 0.366 0.134 0.500
9 Ir 0.634 0.866 0.500
10 Ir 0.866 0.366 0.500

---

[10]
A plane-wave DFT calculation with PBE was carried out for a geometry-optimized MnHgIrOs2 structure.

Formation energy = 8.440 eV/f.u.

a = 4.734 Å, b = 4.734 Å, c = 4.801 Å
α = 90.00°, β = 90.00°, γ = 90.00°
Element x y z (fractional)
1 Mn 0.000 0.000 0.000
2 Hg 0.500 0.500 0.000
3 Ir 0.000 0.000 0.500
4 Os 0.000 0.500 0.500
5 Os 0.500 0.000 0.500

---

[11]
A plane-wave DFT calculation with PBE was carried out for a geometry-optimized MnReHgIr2 structure.

Formation energy = 15.077 eV/f.u.

a = 4.811 Å, b = 4.811 Å, c = 4.520 Å
α = 90.00°, β = 90.00°, γ = 90.00°
Element x y z (fractional)
1 Mn 0.000 0.000 0.000
2 Re 0.500 0.500 0.000
3 Hg 0.000 0.000 0.500
4 Ir 0.000 0.500 0.500
5 Ir 0.500 0.000 0.500

---

[12]
A plane-wave DFT calculation with PBE was carried out for a geometry-optimized MnHg2IrS structure.

E_form (uncorrected) = 979 meV per atom

a = 5.117 Å, b = 5.117 Å, c = 3.997 Å
α = 90.00°, β = 90.00°, γ = 90.00°
Element x y z (fractional)
1 Mn 0.000 0.000 0.000
2 Hg 0.000 0.500 0.000
3 Hg 0.500 0.000 0.000
4 Ir 0.500 0.500 0.500
5 S 0.000 0.000 0.500

---

[13]
A plane-wave DFT calculation with PBE was carried out for a geometry-optimized MnHgIrS2 structure.

E_form (uncorrected) = 1515 meV per atom

a = 4.882 Å, b = 4.882 Å, c = 5.114 Å
α = 90.00°, β = 90.00°, γ = 90.00°
Element x y z (fractional)
1 Mn 0.000 0.000 0.000
2 Hg 0.500 0.500 0.500
3 Ir 0.500 0.500 0.000
4 S 0.000 0.500 0.500
5 S 0.500 0.000 0.500

---

[14]
A plane-wave DFT calculation with PBE was carried out for a geometry-optimized SrMn2HgIr structure.

Formation energy = 1.475 eV/f.u.

a = 4.919 Å, b = 4.919 Å, c = 5.300 Å
α = 90.00°, β = 90.00°, γ = 90.00°
Element x y z (fractional)
1 Sr 0.000 0.000 0.000
2 Mn 0.000 0.500 0.500
3 Mn 0.500 0.000 0.500
4 Hg 0.500 0.500 0.000
5 Ir 0.500 0.500 0.500

---

[15]
A plane-wave DFT calculation with PBE was carried out for a geometry-optimized MnHg2IrW structure.

Formation energy = 9.977 eV/f.u.

a = 5.218 Å, b = 5.218 Å, c = 4.734 Å
α = 90.00°, β = 90.00°, γ = 90.00°
Element x y z (fractional)
1 Mn 0.000 0.000 0.000
2 Hg 0.000 0.500 0.500
3 Hg 0.500 0.000 0.500
4 Ir 0.500 0.500 0.000
5 W 0.500 0.500 0.500

---

[16]
A plane-wave DFT calculation with PBE was carried out for a geometry-optimized HgMo2Ir2 structure.

Formation energy = 0.664 eV/f.u.
Offset from the most stable computed form = 99 meV/atom

a = 7.837 Å, b = 7.837 Å, c = 2.780 Å
α = 90.00°, β = 90.00°, γ = 90.00°
Element x y z (fractional)
1 Hg 0.000 0.000 0.000
2 Hg 0.500 0.500 0.000
3 Mo 0.121 0.379 0.000
4 Mo 0.379 0.879 0.000
5 Mo 0.621 0.121 0.000
6 Mo 0.879 0.621 0.000
7 Ir 0.165 0.665 0.500
8 Ir 0.335 0.165 0.500
9 Ir 0.665 0.835 0.500
10 Ir 0.835 0.335 0.500

---

[17]
A plane-wave DFT calculation with PBE was carried out for a geometry-optimized HgMoIr3 structure.

Formation energy = 7.758 eV/f.u.
Offset from the most stable computed form = 0 meV/atom

a = 4.748 Å, b = 4.748 Å, c = 4.748 Å
α = 90.00°, β = 90.00°, γ = 90.00°
Element x y z (fractional)
1 Hg 0.000 0.000 0.000
2 Mo 0.500 0.500 0.500
3 Ir 0.000 0.500 0.500
4 Ir 0.500 0.000 0.500
5 Ir 0.500 0.500 0.000

---

[18]
A plane-wave DFT calculation with PBE was carried out for a geometry-optimized HgMoIr4 structure.

Formation energy = 2.630 eV/f.u.

a = 5.196 Å, b = 5.196 Å, c = 5.196 Å
α = 60.00°, β = 60.00°, γ = 60.00°
Element x y z (fractional)
1 Hg 0.000 0.000 0.000
2 Mo 0.250 0.250 0.250
3 Ir 0.124 0.625 0.625
4 Ir 0.625 0.124 0.625
5 Ir 0.625 0.625 0.124
6 Ir 0.625 0.625 0.625

---

[19]
A plane-wave DFT calculation with PBE was carried out for a geometry-optimized HgMo4Ir structure.

Formation energy = 2.684 eV/f.u.

a = 5.224 Å, b = 5.224 Å, c = 5.224 Å
α = 60.00°, β = 60.00°, γ = 60.00°
Element x y z (fractional)
1 Hg 0.000 0.000 0.000
2 Mo 0.374 0.374 0.374
3 Mo 0.374 0.374 0.879
4 Mo 0.374 0.879 0.374
5 Mo 0.879 0.374 0.374
6 Ir 0.750 0.750 0.750

---

[20]
A plane-wave DFT calculation with PBE was carried out for a geometry-optimized HgMoIr3 structure.

Formation energy = 13.473 eV/f.u.
Offset from the most stable computed form = 1143 meV/atom

a = 4.864 Å, b = 4.864 Å, c = 4.864 Å
α = 90.00°, β = 90.00°, γ = 90.00°
Element x y z (fractional)
1 Hg 0.000 0.000 0.000
2 Mo 0.500 0.500 0.500
3 Ir 0.000 0.000 0.500
4 Ir 0.000 0.500 0.000
5 Ir 0.500 0.000 0.000

---

[21]
A plane-wave DFT calculation with PBE was carried out for a geometry-optimized Hg4MoIr structure.

Formation energy = 6.050 eV/f.u.

a = 5.577 Å, b = 5.577 Å, c = 5.577 Å
α = 60.00°, β = 60.00°, γ = 60.00°
Element x y z (fractional)
1 Hg 0.125 0.125 0.125
2 Hg 0.125 0.125 0.625
3 Hg 0.125 0.625 0.125
4 Hg 0.625 0.125 0.125
5 Mo 0.500 0.500 0.500
6 Ir 0.750 0.750 0.750

---

[22]
A plane-wave DFT calculation with PBE was carried out for a geometry-optimized HgMo2Ir2 structure.

Formation energy = 0.170 eV/f.u.
Offset from the most stable computed form = 0 meV/atom

a = 7.756 Å, b = 7.756 Å, c = 2.789 Å
α = 90.00°, β = 90.00°, γ = 90.00°
Element x y z (fractional)
1 Hg 0.000 0.000 0.000
2 Hg 0.500 0.500 0.000
3 Mo 0.166 0.334 0.500
4 Mo 0.334 0.834 0.500
5 Mo 0.666 0.166 0.500
6 Mo 0.834 0.666 0.500
7 Ir 0.125 0.625 0.000
8 Ir 0.375 0.125 0.000
9 Ir 0.625 0.875 0.000
10 Ir 0.875 0.375 0.000

---

[23]
A plane-wave DFT calculation with PBE was carried out for a geometry-optimized Nb2HgMoIr structure.

Formation energy = 11.830 eV/f.u.

a = 4.934 Å, b = 4.934 Å, c = 4.816 Å
α = 90.00°, β = 90.00°, γ = 90.00°
Element x y z (fractional)
1 Nb 0.000 0.500 0.000
2 Nb 0.500 0.000 0.000
3 Hg 0.000 0.000 0.000
4 Mo 0.500 0.500 0.500
5 Ir 0.000 0.000 0.500

---

[24]
A plane-wave DFT calculation with PBE was carried out for a geometry-optimized NiHgMo2Ir structure.

Formation energy = 6.801 eV/f.u.

a = 4.744 Å, b = 4.744 Å, c = 4.608 Å
α = 90.00°, β = 90.00°, γ = 90.00°
Element x y z (fractional)
1 Ni 0.000 0.000 0.000
2 Hg 0.500 0.500 0.000
3 Mo 0.000 0.500 0.500
4 Mo 0.500 0.000 0.500
5 Ir 0.000 0.000 0.500

---

[25]
A plane-wave DFT calculation with PBE was carried out for a geometry-optimized SnHgMo2Ir structure.

Formation energy = 11.898 eV/f.u.

a = 4.995 Å, b = 4.995 Å, c = 5.020 Å
α = 90.00°, β = 90.00°, γ = 90.00°
Element x y z (fractional)
1 Sn 0.000 0.000 0.000
2 Hg 0.000 0.000 0.500
3 Mo 0.000 0.500 0.000
4 Mo 0.500 0.000 0.000
5 Ir 0.500 0.500 0.500

---

[26]
A plane-wave DFT calculation with PBE was carried out for a geometry-optimized TlHgMoIr2 structure.

Formation energy = 11.412 eV/f.u.

a = 5.011 Å, b = 5.011 Å, c = 5.148 Å
α = 90.00°, β = 90.00°, γ = 90.00°
Element x y z (fractional)
1 Tl 0.000 0.000 0.000
2 Hg 0.000 0.000 0.500
3 Mo 0.500 0.500 0.000
4 Ir 0.000 0.500 0.500
5 Ir 0.500 0.000 0.500

---

[27]
A plane-wave DFT calculation with PBE was carried out for a geometry-optimized YHgMo2Ir structure.

Formation energy = 9.102 eV/f.u.

a = 5.004 Å, b = 5.004 Å, c = 5.008 Å
α = 90.00°, β = 90.00°, γ = 90.00°
Element x y z (fractional)
1 Y 0.000 0.000 0.000
2 Hg 0.500 0.500 0.500
3 Mo 0.000 0.500 0.500
4 Mo 0.500 0.000 0.500
5 Ir 0.500 0.500 0.000

---

[28]
A plane-wave DFT calculation with PBE was carried out for a geometry-optimized Zn2HgMoIr structure.

Formation energy = 5.500 eV/f.u.

a = 4.988 Å, b = 4.988 Å, c = 4.721 Å
α = 90.00°, β = 90.00°, γ = 90.00°
Element x y z (fractional)
1 Zn 0.000 0.500 0.000
2 Zn 0.500 0.000 0.000
3 Hg 0.000 0.000 0.500
4 Mo 0.500 0.500 0.000
5 Ir 0.500 0.500 0.500

---

Uncorrected energy list, top to bottom, in eV for the cell shown: -51.98, -26.03, -14.68, -53.03, -50.96, -51.31, -52.70, -99.11, -71.57, -32.35, -24.56, -17.87, -19.01, -27.71, -21.61, -78.04, -29.96, -43.95, -49.80, -24.24, -14.85, -79.03, -28.30, -29.81, -22.93, -19.81, -28.19, -17.04
DOS(E_F) list, top to bottom, in states/eV per atom: 0.718, 1.082, 0.333, 0.644, 0.998, 1.112, 0.836, 0.678, 0.995, 1.100, 2.366, 0.987, 1.058, 0.659, 1.441, 0.768, 0.952, 0.876, 0.841, 1.636, 0.431, 0.497, 2.002, 1.612, 1.238, 0.926, 1.546, 1.069